(1)
In2SbTe | PBE | optimized geometry

* formation energy from raw total energies: -107 meV per atom
* V: 40.0 Å³ per atom
* M_tot: 0.00 μB/cell
* crystal system: trigonal
* E: -3.292 eV per atom

Geometry as CIF:
```
data_In2SbTe
_symmetry_space_group_name_H-M 'R 3 m'
_symmetry_Int_Tables_number 160
_symmetry_space_group_name_Hall 'R 3 -2"'
_cell_length_a 4.7947
_cell_length_b 4.7947
_cell_length_c 24.0808
_cell_angle_alpha 90.00
_cell_angle_beta 90.00
_cell_angle_gamma 120.00
loop_
_atom_site_label
_atom_site_type_symbol
_atom_site_fract_x
_atom_site_fract_y
_atom_site_fract_z
In1 In 0.0000 0.0000 0.0000
In2 In 0.0000 0.0000 0.4940
Sb1 Sb 0.0000 0.0000 0.1230
Te1 Te 0.0000 0.0000 0.6186
```


(2)
LaNi3 | PBE | optimized geometry

* ΔH_f (0 K): -0.2795 eV per atom
* V: 17.2 Å³ per atom
* M_tot: 0.00 μB/cell
* crystal system: orthorhombic
* E: -5.847 eV per atom

Geometry as CIF:
```
data_LaNi3
_symmetry_space_group_name_H-M 'P m m n'
_symmetry_Int_Tables_number 59
_cell_length_a 4.087
_cell_length_b 6.410
_cell_length_c 5.239
_cell_angle_alpha 90.00
_cell_angle_beta 90.00
_cell_angle_gamma 90.00
loop_
_symmetry_equiv_pos_as_xyz
'x,y,z'
'-x,-y,-z'
'-x+1/2,-y+1/2,z'
'x+1/2,y+1/2,-z'
'x+1/2,-y,-z'
'-x+1/2,y,z'
'-x,y+1/2,-z'
'x,-y+1/2,z'
loop_
_atom_site_label
_atom_site_type_symbol
_atom_site_fract_x
_atom_site_fract_y
_atom_site_fract_z
La1 La 0.250 0.250 0.126
Ni1 Ni 0.250 0.055 0.608
Ni2 Ni 0.250 0.750 0.334
```


(3)
TbDyTm2In | PBE | optimized geometry

* ΔH_f (0 K): 0.0809 eV per atom
* V: 32.4 Å³ per atom
* M_tot: 0.00 μB/cell
* crystal system: orthorhombic
* E: -4.102 eV per atom

Geometry as CIF:
```
data_TbDyTm2In
_symmetry_space_group_name_H-M 'C m c m'
_symmetry_Int_Tables_number 63
_symmetry_space_group_name_Hall '-C 2c 2'
_cell_length_a 3.471
_cell_length_b 20.406
_cell_length_c 9.157
_cell_angle_alpha 90.00
_cell_angle_beta 90.00
_cell_angle_gamma 90.00
loop_
_atom_site_label
_atom_site_type_symbol
_atom_site_fract_x
_atom_site_fract_y
_atom_site_fract_z
Tb1 Tb 0.000 0.000 0.000
Dy1 Dy 0.000 0.394 0.250
Tm1 Tm 0.000 0.168 0.053
In1 In 0.000 0.238 0.750
```


(4)
ZnCu2Rh | PBE | optimized geometry

* ΔH_f (0 K): 0.0423 eV per atom
* V: 13.3 Å³ per atom
* M_tot: 0.41 μB/cell
* crystal system: orthorhombic
* E: -4.162 eV per atom

Geometry as CIF:
```
data_ZnCu2Rh
_symmetry_space_group_name_H-M 'C m m m'
_symmetry_Int_Tables_number 65
_symmetry_space_group_name_Hall '-C 2 2'
_cell_length_a 2.819
_cell_length_b 4.401
_cell_length_c 8.576
_cell_angle_alpha 90.00
_cell_angle_beta 90.00
_cell_angle_gamma 90.00
loop_
_atom_site_label
_atom_site_type_symbol
_atom_site_fract_x
_atom_site_fract_y
_atom_site_fract_z
Zn1 Zn 0.000 0.000 0.000
Cu1 Cu 0.000 0.500 0.246
Rh1 Rh 0.000 0.000 0.500
```